A relaxed structure of YFe2Os. Source: the Alexandria database, functional PBE.

CIF file:
```
data_YFe2Os
_chemical_formula_sum 'Y4 Fe8 Os4'
_cell_length_a 6.308
_cell_length_b 6.308
_cell_length_c 6.308
_cell_angle_alpha 90.00
_cell_angle_beta 90.00
_cell_angle_gamma 90.00
_symmetry_space_group_name_H-M 'F m -3 m'
_symmetry_Int_Tables_number 225
_symmetry_space_group_name_Hall '-F 4 2 3'
loop_
_atom_site_label
_atom_site_type_symbol
_atom_site_fract_x
_atom_site_fract_y
_atom_site_fract_z
Y1 Y 0.000 0.000 0.000
Fe1 Fe 0.250 0.250 0.250
Os1 Os 0.000 0.000 0.500
```

Results
Relative energy among the computed polymorphs   181 meV per atom

---

A relaxed structure of YFe2Os. Source: the Alexandria database, functional PBE.

CIF file:
```
data_YFe2Os
_chemical_formula_sum 'Y1 Fe2 Os1'
_cell_length_a 3.325
_cell_length_b 4.316
_cell_length_c 4.471
_cell_angle_alpha 90.00
_cell_angle_beta 90.00
_cell_angle_gamma 90.00
_symmetry_space_group_name_H-M 'P m m m'
_symmetry_Int_Tables_number 47
loop_
_symmetry_equiv_pos_as_xyz
'x,y,z'
'-x,-y,-z'
'-x,-y,z'
'x,y,-z'
'x,-y,-z'
'-x,y,z'
'-x,y,-z'
'x,-y,z'
loop_
_atom_site_label
_atom_site_type_symbol
_atom_site_fract_x
_atom_site_fract_y
_atom_site_fract_z
Y1 Y 0.000 0.000 0.000
Fe1 Fe 0.000 0.500 0.500
Fe2 Fe 0.500 0.500 0.000
Os1 Os 0.500 0.000 0.500
```

Results
Relative energy among the computed polymorphs   258 meV per atom

---

A relaxed structure of YFe2Os. Source: the Alexandria database, functional PBE.

CIF file:
```
data_YFe2Os
_chemical_formula_sum 'Y2 Fe4 Os2'
_cell_length_a 5.296
_cell_length_b 6.598
_cell_length_c 4.268
_cell_angle_alpha 90.00
_cell_angle_beta 90.00
_cell_angle_gamma 90.00
_symmetry_space_group_name_H-M 'C m m m'
_symmetry_Int_Tables_number 65
_symmetry_space_group_name_Hall '-C 2 2'
loop_
_atom_site_label
_atom_site_type_symbol
_atom_site_fract_x
_atom_site_fract_y
_atom_site_fract_z
Y1 Y 0.000 0.000 0.000
Fe1 Fe 0.000 0.314 0.500
Os1 Os 0.000 0.500 0.000
```

Results
Relative energy among the computed polymorphs   507 meV per atom

---

A relaxed structure of Y2FeOs3. Source: the Alexandria database, functional PBE.

CIF file:
```
data_Y2FeOs3
_chemical_formula_sum 'Y4 Fe2 Os6'
_cell_length_a 9.132
_cell_length_b 5.338
_cell_length_c 5.291
_cell_angle_alpha 90.00
_cell_angle_beta 124.49
_cell_angle_gamma 90.00
_symmetry_space_group_name_H-M 'C 1 2/m 1'
_symmetry_Int_Tables_number 12
loop_
_symmetry_equiv_pos_as_xyz
'x,y,z'
'-x,-y,-z'
'-x,y,-z'
'x,-y,z'
'x+1/2,y+1/2,z'
'-x+1/2,-y+1/2,-z'
'-x+1/2,y+1/2,-z'
'x+1/2,-y+1/2,z'
loop_
_atom_site_label
_atom_site_type_symbol
_atom_site_fract_x
_atom_site_fract_y
_atom_site_fract_z
Y1 Y 0.124 0.000 0.376
Fe1 Fe 0.000 0.500 0.000
Os1 Os 0.000 0.500 0.500
Os2 Os 0.250 0.250 0.000
```

---

A relaxed structure of YFe2Os. Source: the Alexandria database, functional PBE.

CIF file:
```
data_YFe2Os
_chemical_formula_sum 'Y2 Fe4 Os2'
_cell_length_a 5.490
_cell_length_b 8.527
_cell_length_c 2.792
_cell_angle_alpha 90.00
_cell_angle_beta 107.19
_cell_angle_gamma 90.00
_symmetry_space_group_name_H-M 'C 1 2/m 1'
_symmetry_Int_Tables_number 12
loop_
_symmetry_equiv_pos_as_xyz
'x,y,z'
'-x,-y,-z'
'-x,y,-z'
'x,-y,z'
'x+1/2,y+1/2,z'
'-x+1/2,-y+1/2,-z'
'-x+1/2,y+1/2,-z'
'x+1/2,-y+1/2,z'
loop_
_atom_site_label
_atom_site_type_symbol
_atom_site_fract_x
_atom_site_fract_y
_atom_site_fract_z
Y1 Y 0.000 0.000 0.000
Fe1 Fe 0.250 0.250 0.500
Os1 Os 0.000 0.500 0.000
```

Results
Relative energy among the computed polymorphs   310 meV per atom

---

A relaxed structure of YFe2Os. Source: the Alexandria database, functional PBE.

CIF file:
```
data_YFe2Os
_chemical_formula_sum 'Y4 Fe8 Os4'
_cell_length_a 4.348
_cell_length_b 4.348
_cell_length_c 16.727
_cell_angle_alpha 90.00
_cell_angle_beta 90.00
_cell_angle_gamma 90.00
_symmetry_space_group_name_H-M 'I -4 2 d'
_symmetry_Int_Tables_number 122
_symmetry_space_group_name_Hall 'I -4 2bw'
loop_
_atom_site_label
_atom_site_type_symbol
_atom_site_fract_x
_atom_site_fract_y
_atom_site_fract_z
Y1 Y 0.000 0.000 0.000
Fe1 Fe 0.060 0.250 0.625
Os1 Os 0.000 0.000 0.500
```

Results
Relative energy among the computed polymorphs   492 meV per atom

---

A relaxed structure of YFe2Os. Source: the Alexandria database, functional PBE.

CIF file:
```
data_YFe2Os
_chemical_formula_sum 'Y3 Fe6 Os3'
_cell_length_a 2.8524
_cell_length_b 2.8524
_cell_length_c 27.3692
_cell_angle_alpha 90.00
_cell_angle_beta 90.00
_cell_angle_gamma 120.00
_symmetry_space_group_name_H-M 'R -3 m'
_symmetry_Int_Tables_number 166
_symmetry_space_group_name_Hall '-R 3 2"'
loop_
_atom_site_label
_atom_site_type_symbol
_atom_site_fract_x
_atom_site_fract_y
_atom_site_fract_z
Y1 Y 0.0000 0.0000 0.0000
Fe1 Fe 0.0000 0.0000 0.2403
Os1 Os 0.0000 0.0000 0.5000
```

Results
Relative energy among the computed polymorphs   539 meV per atom

---

A relaxed structure of YFe2Os. Source: the Alexandria database, functional PBE.

CIF file:
```
data_YFe2Os
_chemical_formula_sum 'Y4 Fe8 Os4'
_cell_length_a 6.364
_cell_length_b 6.364
_cell_length_c 6.364
_cell_angle_alpha 90.00
_cell_angle_beta 90.00
_cell_angle_gamma 90.00
_symmetry_space_group_name_H-M 'F -4 3 m'
_symmetry_Int_Tables_number 216
_symmetry_space_group_name_Hall 'F -4 2 3'
loop_
_atom_site_label
_atom_site_type_symbol
_atom_site_fract_x
_atom_site_fract_y
_atom_site_fract_z
Y1 Y 0.000 0.000 0.000
Fe1 Fe 0.000 0.000 0.500
Fe2 Fe 0.250 0.250 0.250
Os1 Os 0.250 0.250 0.750
```

Results
Relative energy among the computed polymorphs   287 meV per atom

---

A relaxed structure of YFe2Os. Source: the Alexandria database, functional PBE.

CIF file:
```
data_YFe2Os
_chemical_formula_sum 'Y1 Fe2 Os1'
_cell_length_a 2.877
_cell_length_b 4.149
_cell_length_c 5.574
_cell_angle_alpha 90.00
_cell_angle_beta 104.11
_cell_angle_gamma 90.00
_symmetry_space_group_name_H-M 'P 1 m 1'
_symmetry_Int_Tables_number 6
loop_
_symmetry_equiv_pos_as_xyz
'x,y,z'
'x,-y,z'
loop_
_atom_site_label
_atom_site_type_symbol
_atom_site_fract_x
_atom_site_fract_y
_atom_site_fract_z
Y1 Y 0.000 0.000 0.000
Fe1 Fe 0.563 0.000 0.497
Fe2 Fe 0.665 0.500 0.286
Os1 Os 0.294 0.500 0.672
```

Results
Relative energy among the computed polymorphs   207 meV per atom

---

A relaxed structure of YFe2Os. Source: the Alexandria database, functional PBE.

CIF file:
```
data_YFe2Os
_chemical_formula_sum 'Y2 Fe4 Os2'
_cell_length_a 3.074
_cell_length_b 4.508
_cell_length_c 9.104
_cell_angle_alpha 90.00
_cell_angle_beta 90.00
_cell_angle_gamma 90.00
_symmetry_space_group_name_H-M 'I m m 2'
_symmetry_Int_Tables_number 44
loop_
_symmetry_equiv_pos_as_xyz
'x,y,z'
'-x,-y,z'
'-x,y,z'
'x,-y,z'
'x+1/2,y+1/2,z+1/2'
'-x+1/2,-y+1/2,z+1/2'
'-x+1/2,y+1/2,z+1/2'
'x+1/2,-y+1/2,z+1/2'
loop_
_atom_site_label
_atom_site_type_symbol
_atom_site_fract_x
_atom_site_fract_y
_atom_site_fract_z
Y1 Y 0.000 0.000 0.000
Fe1 Fe 0.000 0.000 0.499
Fe2 Fe 0.000 0.500 0.773
Os1 Os 0.000 0.500 0.226
```

Results
Relative energy among the computed polymorphs   206 meV per atom

---

A relaxed structure of ZnFeOs3. Source: the Alexandria database, functional PBE.

CIF file:
```
data_ZnFeOs3
_chemical_formula_sum 'Zn1 Fe1 Os3'
_cell_length_a 4.402
_cell_length_b 4.402
_cell_length_c 4.402
_cell_angle_alpha 90.00
_cell_angle_beta 90.00
_cell_angle_gamma 90.00
_symmetry_space_group_name_H-M 'P m -3 m'
_symmetry_Int_Tables_number 221
_symmetry_space_group_name_Hall '-P 4 2 3'
loop_
_atom_site_label
_atom_site_type_symbol
_atom_site_fract_x
_atom_site_fract_y
_atom_site_fract_z
Zn1 Zn 0.000 0.000 0.000
Fe1 Fe 0.500 0.500 0.500
Os1 Os 0.000 0.000 0.500
```

Results
Relative energy among the computed polymorphs   703 meV per atom

---

A relaxed structure of Zn4FeOs. Source: the Alexandria database, functional PBE.

CIF file:
```
data_Zn4FeOs
_chemical_formula_sum 'Zn16 Fe4 Os4'
_cell_length_a 6.889
_cell_length_b 6.889
_cell_length_c 6.889
_cell_angle_alpha 90.00
_cell_angle_beta 90.00
_cell_angle_gamma 90.00
_symmetry_space_group_name_H-M 'F -4 3 m'
_symmetry_Int_Tables_number 216
_symmetry_space_group_name_Hall 'F -4 2 3'
loop_
_atom_site_label
_atom_site_type_symbol
_atom_site_fract_x
_atom_site_fract_y
_atom_site_fract_z
Zn1 Zn 0.125 0.125 0.125
Fe1 Fe 0.250 0.250 0.750
Os1 Os 0.000 0.000 0.500
```

---

A relaxed structure of ZnFeOs3. Source: the Alexandria database, functional PBE.

CIF file:
```
data_ZnFeOs3
_chemical_formula_sum 'Zn1 Fe1 Os3'
_cell_length_a 4.410
_cell_length_b 4.410
_cell_length_c 4.410
_cell_angle_alpha 90.00
_cell_angle_beta 90.00
_cell_angle_gamma 90.00
_symmetry_space_group_name_H-M 'P m -3 m'
_symmetry_Int_Tables_number 221
_symmetry_space_group_name_Hall '-P 4 2 3'
loop_
_atom_site_label
_atom_site_type_symbol
_atom_site_fract_x
_atom_site_fract_y
_atom_site_fract_z
Zn1 Zn 0.000 0.000 0.000
Fe1 Fe 0.500 0.500 0.500
Os1 Os 0.000 0.500 0.500
```

Results
Relative energy among the computed polymorphs   0 meV per atom

---

A relaxed structure of Zn3FeOs. Source: the Alexandria database, functional PBE.

CIF file:
```
data_Zn3FeOs
_chemical_formula_sum 'Zn3 Fe1 Os1'
_cell_length_a 4.740
_cell_length_b 4.740
_cell_length_c 4.740
_cell_angle_alpha 90.00
_cell_angle_beta 90.00
_cell_angle_gamma 90.00
_symmetry_space_group_name_H-M 'P m -3 m'
_symmetry_Int_Tables_number 221
_symmetry_space_group_name_Hall '-P 4 2 3'
loop_
_atom_site_label
_atom_site_type_symbol
_atom_site_fract_x
_atom_site_fract_y
_atom_site_fract_z
Zn1 Zn 0.000 0.000 0.500
Fe1 Fe 0.500 0.500 0.500
Os1 Os 0.000 0.000 0.000
```

Results
Relative energy among the computed polymorphs   0 meV per atom

---

no.,DOS(E_F) (states/eV per atom),total energy (eV per atom),E_form (eV/atom)
1,1.356,-8.39,0.264
2,1.125,-8.31,0.342
3,1.305,-8.06,0.590
4,0.877,-9.44,-0.262
5,0.818,-8.26,0.393
6,1.006,-8.08,0.575
7,1.382,-8.03,0.622
8,1.194,-8.28,0.370
9,1.064,-8.36,0.290
10,0.866,-8.37,0.289
11,1.726,-6.24,2.448
12,0.514,-3.89,0.237
13,0.927,-6.94,1.746
14,3.607,-3.56,1.141